--- 1 ---
## MgH3Ir2 (PBE)

Data for a geometry-optimized MgH3Ir2 structure.

The value obtained for the magnetization is 0.00 Bohr magnetons per cell.

The structure belongs to space group Amm2 (No. 38); the cell edges are 4.1040, 2.7672 and 10.5256 Å and the angles 90.00°, 90.00° and 90.00°. The inequivalent atoms are Mg at (0.0000, 0.0000, 0.0000), H at (0.2881, 0.0000, 0.6229), H at (0.5000, 0.0000, 0.9525), Ir at (0.0000, 0.0000, 0.7282) and Ir at (0.5000, 0.0000, 0.3480).


--- 2 ---
## MgH3Ir2 (PBE)

Data for a geometry-optimized MgH3Ir2 structure.

The value obtained for the magnetization is 0.00 Bohr magnetons per cell.

The structure belongs to space group C2 (No. 5); the cell edges are 8.7861, 4.8102 and 2.8948 Å and the angles 90.00°, 109.12° and 90.00°. The inequivalent atoms are Mg at (0.0000, 0.0000, 0.0000), H at (0.0000, 0.4393, 0.0000), H at (0.1426, 0.6423, 0.6433) and Ir at (0.2241, 0.4471, 0.2242).


List of relative energies, unit meV per atom: 1 0; 2 17


--- 1 ---
## Mg2H8Ir (PBE)

Data for a geometry-optimized Mg2H8Ir structure.

The value obtained for the magnetization is 0.00 Bohr magnetons per cell.

The structure belongs to space group C2/m (No. 12); the cell edges are 11.9726, 3.8451 and 4.2605 Å and the angles 90.00°, 90.63° and 90.00°. The inequivalent atoms are Mg at (0.1506, 0.0000, 0.0057), H at (0.9996, 0.3464, 0.2487), H at (0.1410, 0.0000, 0.5041), H at (0.1886, 0.5000, 0.0074) and Ir at (0.0000, 0.0000, 0.5000).


--- 2 ---
## Mg2H8Ir (PBE)

Data for a geometry-optimized Mg2H8Ir structure.

The value obtained for the magnetization is 0.00 Bohr magnetons per cell.

The structure belongs to space group C2/m (No. 12); the cell edges are 13.1968, 3.2283 and 4.1370 Å and the angles 90.00°, 105.99° and 90.00°. The inequivalent atoms are Mg at (0.1638, 0.0000, 0.1413), H at (0.0045, 0.0000, 0.7110), H at (0.0922, 0.5000, 0.2929), H at (0.1139, 0.5000, 0.8073), H at (0.2425, 0.0000, 0.7464) and Ir at (0.0000, 0.5000, 0.5000).


List of relative energies, unit meV per atom: 1 0; 2 80


--- 1 ---
## MgH2Ir6 (PBE)

Data for a geometry-optimized MgH2Ir6 structure.

The value obtained for the magnetization is 0.00 Bohr magnetons per cell.

The structure belongs to space group P-1 (No. 2); the cell edges are 4.8389, 4.8461 and 4.8543 Å and the angles 98.53°, 99.47° and 99.74°. The inequivalent atoms are Mg at (0.0000, 0.0000, 0.0000), H at (0.0558, 0.5808, 0.8064), Ir at (0.1535, 0.2802, 0.5764), Ir at (0.3054, 0.5877, 0.1523) and Ir at (0.4237, 0.8545, 0.7009).


--- 2 ---
## MgH2Ir6 (PBE)

Data for a geometry-optimized MgH2Ir6 structure.

The value obtained for the magnetization is 0.00 Bohr magnetons per cell.

The structure belongs to space group C2 (No. 5); the cell edges are 9.3093, 4.7817 and 5.4496 Å and the angles 90.00°, 107.13° and 90.00°. The inequivalent atoms are Mg at (0.0000, 0.0000, 0.0000), H at (0.0776, 0.8319, 0.3912), Ir at (0.0038, 0.5168, 0.7505), Ir at (0.2373, 0.3154, 0.6168) and Ir at (0.2405, 0.3204, 0.1223).


--- 3 ---
## MgH2Ir6 (PBE)

Data for a geometry-optimized MgH2Ir6 structure.

The value obtained for the magnetization is 0.00 Bohr magnetons per cell.

The structure belongs to space group C2 (No. 5); the cell edges are 9.2678, 4.8146 and 5.4377 Å and the angles 90.00°, 107.45° and 90.00°. The inequivalent atoms are Mg at (0.0000, 0.0000, 0.0000), H at (0.1442, 0.9662, 0.5634), Ir at (0.0007, 0.5118, 0.2502), Ir at (0.2390, 0.3096, 0.6235) and Ir at (0.2474, 0.3157, 0.1210).


--- 4 ---
## MgH2Ir6 (PBE)

Data for a geometry-optimized MgH2Ir6 structure.

The value obtained for the magnetization is 0.00 Bohr magnetons per cell.

The structure belongs to space group P1 (No. 1); the cell edges are 5.2083, 5.2419 and 5.4462 Å and the angles 104.83°, 105.34° and 116.39°. The inequivalent atoms are Mg at (0.0000, 0.0000, 0.0000), H at (0.1706, 0.8670, 0.4839), H at (0.2385, 0.2918, 0.6201), Ir at (0.4402, 0.9347, 0.8379), Ir at (0.4640, 0.9403, 0.3365), Ir at (0.4840, 0.4875, 0.9871), Ir at (0.4870, 0.4923, 0.4812), Ir at (0.9202, 0.4413, 0.3303) and Ir at (0.9259, 0.4410, 0.8326).


List of relative energies, unit meV per atom: 1 69; 2 11; 3 18; 4 0


--- 1 ---
## Mg4H4Ir (PBE)

Data for a geometry-optimized Mg4H4Ir structure.

The value obtained for the magnetization is 0.00 Bohr magnetons per cell.

The structure belongs to space group P1 (No. 1); the cell edges are 4.2028, 5.1049 and 5.9649 Å and the angles 91.05°, 90.01° and 114.28°. The inequivalent atoms are Mg at (0.0000, 0.0000, 0.0000), Mg at (0.0087, 0.0184, 0.5162), Mg at (0.3260, 0.6521, 0.2978), Mg at (0.7181, 0.4374, 0.7282), H at (0.1245, 0.2503, 0.2545), H at (0.2611, 0.5262, 0.9031), H at (0.5346, 0.0694, 0.9802), H at (0.8599, 0.7205, 0.2488) and Ir at (0.4164, 0.8335, 0.7582).


--- 2 ---
## Mg4H4Ir (PBE)

Data for a geometry-optimized Mg4H4Ir structure.

The value obtained for the magnetization is 0.00 Bohr magnetons per cell.

The structure belongs to space group P1 (No. 1); the cell edges are 4.1501, 5.0777 and 6.0783 Å and the angles 90.03°, 90.02° and 114.11°. The inequivalent atoms are Mg at (0.0000, 0.0000, 0.0000), Mg at (0.0001, 0.0006, 0.5191), Mg at (0.3294, 0.6582, 0.2610), Mg at (0.7023, 0.4040, 0.7602), H at (0.1238, 0.2446, 0.2594), H at (0.2607, 0.5242, 0.5840), H at (0.2656, 0.5272, 0.9370), H at (0.8590, 0.7165, 0.2594) and Ir at (0.4012, 0.8016, 0.7593).


--- 3 ---
## Mg4H4Ir (PBE)

Data for a geometry-optimized Mg4H4Ir structure.

The value obtained for the magnetization is 0.00 Bohr magnetons per cell.

The structure belongs to space group C2 (No. 5); the cell edges are 8.4442, 5.7842 and 5.3871 Å and the angles 90.00°, 122.09° and 90.00°. The inequivalent atoms are Mg at (0.1461, 0.0000, 0.4031), Mg at (0.2031, 0.6782, 0.9876), H at (0.0000, 0.6847, 0.5000), H at (0.0000, 0.8490, 0.0000), H at (0.0783, 0.3803, 0.2668) and Ir at (0.0000, 0.3898, 0.5000).


--- 4 ---
## Mg4H4Ir (PBE)

Data for a geometry-optimized Mg4H4Ir structure.

The value obtained for the magnetization is 0.00 Bohr magnetons per cell.

The structure belongs to space group Cm (No. 8); the cell edges are 9.4000, 4.2719 and 5.8040 Å and the angles 90.00°, 90.01° and 90.00°. The inequivalent atoms are Mg at (0.0000, 0.0000, 0.0000), Mg at (0.9997, 0.0000, 0.4841), Mg at (0.2216, 0.5000, 0.2423), Mg at (0.3174, 0.0000, 0.7427), H at (0.0264, 0.5000, 0.0051), H at (0.0265, 0.5000, 0.4773), H at (0.1187, 0.0000, 0.7417), H at (0.3555, 0.5000, 0.7415) and Ir at (0.4197, 0.0000, 0.2414).


List of relative energies, unit meV per atom: 1 0; 2 10; 3 56; 4 29


--- 1 ---
## Mg6HIr2 (PBE)

Data for a geometry-optimized Mg6HIr2 structure.

The value obtained for the magnetization is 0.00 Bohr magnetons per cell.

The structure belongs to space group P1 (No. 1); the cell edges are 4.5283, 5.4516 and 7.1880 Å and the angles 83.21°, 71.68° and 65.52°. The inequivalent atoms are Mg at (0.0000, 0.0000, 0.0000), Mg at (0.0558, 0.3216, 0.5644), Mg at (0.2310, 0.3947, 0.1409), Mg at (0.3648, 0.5394, 0.7291), Mg at (0.4443, 0.8097, 0.2996), Mg at (0.6883, 0.9419, 0.6798), H at (0.8753, 0.9068, 0.3436), Ir at (0.6977, 0.2425, 0.3585) and Ir at (0.7488, 0.5595, 0.9411).


--- 2 ---
## Mg6HIr2 (PBE)

Data for a geometry-optimized Mg6HIr2 structure.

The value obtained for the magnetization is 0.00 Bohr magnetons per cell.

The structure belongs to space group P1 (No. 1); the cell edges are 4.6349, 5.3193 and 5.8764 Å and the angles 90.43°, 90.02° and 90.43°. The inequivalent atoms are Mg at (0.0000, 0.0000, 0.0000), Mg at (0.0001, 0.0018, 0.5018), Mg at (0.4976, 0.6863, 0.5095), Mg at (0.4977, 0.6904, 0.9943), Mg at (0.5004, 0.2274, 0.7542), Mg at (0.9913, 0.4583, 0.2499), H at (0.4479, 0.4400, 0.2476), Ir at (0.5055, 0.1293, 0.2535) and Ir at (0.9956, 0.5344, 0.7506).


List of relative energies, unit meV per atom: 1 0; 2 41


--- 1 ---
## Mg2HIr6 (PBE)

Data for a geometry-optimized Mg2HIr6 structure.

The value obtained for the magnetization is 0.00 Bohr magnetons per cell.

The structure belongs to space group Cm (No. 8); the cell edges are 7.8323, 5.5591 and 5.5552 Å and the angles 90.00°, 90.00° and 90.00°. The inequivalent atoms are Mg at (0.0000, 0.0000, 0.0000), Mg at (0.0079, 0.0000, 0.5000), H at (0.2784, 0.0000, 0.0024), Ir at (0.0160, 0.5000, 0.5004), Ir at (0.0216, 0.5000, 0.0001), Ir at (0.2585, 0.2491, 0.2553) and Ir at (0.2585, 0.2496, 0.7452).


--- 2 ---
## Mg2HIr6 (PBE)

Data for a geometry-optimized Mg2HIr6 structure.

The value obtained for the magnetization is 0.00 Bohr magnetons per cell.

The structure belongs to space group P1 (No. 1); the cell edges are 5.2660, 5.2726 and 5.5840 Å and the angles 105.28°, 105.11° and 116.04°. The inequivalent atoms are Mg at (0.0000, 0.0000, 0.0000), Mg at (0.4977, 0.4860, 0.4922), H at (0.8360, 0.4972, 0.8282), Ir at (0.0887, 0.5919, 0.1765), Ir at (0.0953, 0.5790, 0.6583), Ir at (0.4885, 0.4841, 0.0065), Ir at (0.5662, 0.0682, 0.6546), Ir at (0.5896, 0.0719, 0.1610) and Ir at (0.9865, 0.9863, 0.5062).


--- 3 ---
## Mg2HIr6 (PBE)

Data for a geometry-optimized Mg2HIr6 structure.

The value obtained for the magnetization is 0.00 Bohr magnetons per cell.

The structure belongs to space group Amm2 (No. 38); the cell edges are 5.5631, 5.5967 and 7.7952 Å and the angles 90.00°, 90.00° and 90.00°. The inequivalent atoms are Mg at (0.2419, 0.0000, 0.0000), H at (0.5000, 0.0000, 0.1523), Ir at (0.0000, 0.2464, 0.7499), Ir at (0.2452, 0.0000, 0.4939) and Ir at (0.5000, 0.2318, 0.7559).


List of relative energies, unit meV per atom: 1 26; 2 0; 3 38